(1)
First-principles (PBE-GGA) data for a relaxed structure of Tm12AlPd6, as listed in Alexandria via LeMat-Bulk.

a = 8.5358 Å, b = 8.5358 Å, c = 8.5358 Å
α = 108.69°, β = 108.69°, γ = 108.69°
Sites, in units of the cell vectors:
Al  0.0000  0.0000  0.0000
Tm  0.1447  0.3763  0.4415
Tm  0.6769  0.9682  0.1360
Tm  0.9682  0.1360  0.6769
Tm  0.1360  0.6769  0.9682
Tm  0.0318  0.8640  0.3231
Tm  0.8640  0.3231  0.0318
Tm  0.4415  0.1447  0.3763
Tm  0.6237  0.5585  0.8553
Tm  0.3763  0.4415  0.1447
Tm  0.8553  0.6237  0.5585
Tm  0.5585  0.8553  0.6237
Tm  0.3231  0.0318  0.8640
Pd  0.2967  0.2190  0.6500
Pd  0.7033  0.7810  0.3500
Pd  0.2190  0.6500  0.2967
Pd  0.7810  0.3500  0.7033
Pd  0.3500  0.7033  0.7810
Pd  0.6500  0.2967  0.2190

Results
DFT total energy: -5.172 eV/atom
Fermi-level density of states: 14.93 states/eV/cell
space group: R-3, No. 148
energy relative to the elements: -0.5110 eV per atom
energy above the most stable polymorph in this dataset: 109 meV/atom
ρ: 9.1 g/cm3

(2)
First-principles (PBE-GGA) data for a relaxed structure of Tl2CoSi, as listed in Alexandria via LeMat-Bulk.

a = 3.0984 Å, b = 3.0966 Å, c = 8.8788 Å
α = 90.00°, β = 90.00°, γ = 90.00°
Sites, in units of the cell vectors:
Tl  0.5000  0.5000  0.3152
Tl  0.0000  0.0000  0.9405
Si  0.5000  0.5000  0.6666
Co  0.0000  0.0000  0.5776

Results
DFT total energy: -4.162 eV/atom
Fermi-level density of states: 2.75 states/eV/cell
space group: P4mm, No. 99
formation energy from raw total energies: 14.75 kJ per mole of atoms
energy above the most stable polymorph in this dataset: 0 meV/atom
ρ: 9.7 g/cm3

(3)
First-principles (PBE-GGA) data for a relaxed structure of InPt4W, as listed in Alexandria via LeMat-Bulk.

a = 5.2734 Å, b = 5.2734 Å, c = 5.2734 Å
α = 60.00°, β = 60.00°, γ = 60.00°
Sites, in units of the cell vectors:
In  0.0000  0.0000  0.0000
W  0.7500  0.7500  0.7500
Pt  0.3756  0.8733  0.3756
Pt  0.3756  0.3756  0.8733
Pt  0.8733  0.3756  0.3756
Pt  0.3756  0.3756  0.3756

Results
DFT total energy: -6.426 eV/atom
Fermi-level density of states: 7.01 states/eV/cell
space group: F-43m, No. 216
energy relative to the elements: 0.2162 eV per atom
ρ: 17.3 g/cm3

(4)
First-principles (PBE-GGA) data for a relaxed structure of NaGaSn3, as listed in Alexandria via LeMat-Bulk.

a = 5.4482 Å, b = 5.4482 Å, c = 5.4482 Å
α = 90.00°, β = 90.00°, γ = 90.00°
Sites, in units of the cell vectors:
Sn  0.0000  0.0000  0.5000
Sn  0.5000  0.0000  0.0000
Sn  0.0000  0.5000  0.0000
Ga  0.0000  0.0000  0.0000
Na  0.5000  0.5000  0.5000

Results
DFT total energy: -3.033 eV/atom
Fermi-level density of states: 3.07 states/eV/cell
space group: Pm-3m, No. 221
energy relative to the elements: 0.2379 eV per atom
energy above the most stable polymorph in this dataset: 240 meV/atom
ρ: 4.6 g/cm3

(5)
First-principles (PBE-GGA) data for a relaxed structure of Ba2CdInPd, as listed in Alexandria via LeMat-Bulk.

a = 6.0804 Å, b = 6.0804 Å, c = 5.2600 Å
α = 90.00°, β = 90.00°, γ = 90.00°
Sites, in units of the cell vectors:
Cd  0.0000  0.0000  0.5000
In  0.5000  0.5000  0.5000
Ba  0.5000  0.0000  0.0000
Ba  0.0000  0.5000  0.0000
Pd  0.0000  0.0000  0.0000

Results
DFT total energy: -2.834 eV/atom
Fermi-level density of states: 4.66 states/eV/cell
space group: P4/mmm, No. 123
energy relative to the elements: -0.2959 eV per atom
energy above the most stable polymorph in this dataset: 63 meV/atom
ρ: 5.2 g/cm3

(6)
First-principles (PBE-GGA) data for a relaxed structure of Ac3LaIr, as listed in Alexandria via LeMat-Bulk.

a = 7.9617 Å, b = 7.9617 Å, c = 8.9790 Å
α = 55.73°, β = 55.73°, γ = 73.41°
Sites, in units of the cell vectors:
Ac  0.4518  0.4518  0.2562
Ac  0.0444  0.4483  0.7942
Ac  0.5482  0.5482  0.7438
Ac  0.9556  0.5517  0.2058
Ac  0.4483  0.0444  0.7942
Ac  0.5517  0.9556  0.2058
Ir  0.7569  0.7569  0.8559
Ir  0.2431  0.2431  0.1441
La  0.0443  0.0443  0.6562
La  0.9557  0.9557  0.3438

Results
DFT total energy: -5.562 eV/atom
Fermi-level density of states: 12.67 states/eV/cell
space group: C2/m, No. 12
energy relative to the elements: -0.3392 eV per atom
energy above the most stable polymorph in this dataset: 0 meV/atom
ρ: 8.7 g/cm3